Version 1
TmGa3Ag3 | PBE | relaxed

extended XYZ file:
```
14
Lattice="-2.984 -6.300 0.932 3.813 -0.943 5.834 -5.101 2.981 3.815" Properties=species:S:1:pos:R:3 pbc="T T T"
Ga -0.332 -5.196 3.616
Ag 0.631 0.274 3.871
Ga -1.597 1.255 3.366
Tm 0.000 0.000 0.000
Ag 1.368 -3.857 4.842
Ga 1.160 -2.046 3.150
Tm -2.136 -2.131 5.291
Ag -3.296 -0.085 2.141
Ga 0.309 0.783 6.283
Ga -2.767 -2.405 1.420
Ag -1.919 1.764 5.778
Ag -4.788 -3.234 2.607
Ga -5.318 -0.914 3.328
Ag -0.539 -3.386 1.925
```

Results
- D(E_F) (states/eV/f.u.) = 3.740
- M_tot (μB per formula unit) = 0.0
- symmetry = No. 223
- volume (Å³ per atom) = 24.85


Version 2
TmGa3Ag3 | PBE | relaxed

extended XYZ file:
```
14
Lattice="-5.584 5.569 -1.147 -2.248 1.925 -7.400 -6.347 -1.213 -2.679" Properties=species:S:1:pos:R:3 pbc="T T T"
Ag -7.264 0.982 -3.019
Ag -10.362 3.982 -5.607
Ag -6.861 5.475 -3.180
Ga -5.711 2.992 -3.365
Ga -5.560 2.641 -7.707
Ga -8.468 3.289 -7.861
Ga -5.885 0.801 -5.382
Ga -8.619 3.639 -3.518
Tm -11.522 3.828 -8.379
Ag -3.817 2.298 -5.618
Ag -7.318 0.806 -8.046
Ga -8.294 5.479 -5.844
Ag -6.915 5.299 -8.207
Tm -2.657 2.452 -2.847
```

Results
- D(E_F) (states/eV/f.u.) = 1.719
- M_tot (μB per formula unit) = 0.0
- symmetry = No. 148
- volume (Å³ per atom) = 20.70


Which of them is the most stable? Correct choice: version 2.